Entry 1:
## PrPu2Pt (PBE)

Data for a relaxed PrPu2Pt crystal.

Cell and atoms, written as CIF:
```
data_PrPu2Pt
_cell_length_a 3.6391
_cell_length_b 3.6391
_cell_length_c 31.1655
_cell_angle_alpha 90.00
_cell_angle_beta 90.00
_cell_angle_gamma 120.00
_space_group_name_H-M_alt 'R -3 m'
_space_group_IT_number 166
_space_group_name_Hall '-R 3 2"'
loop_
_atom_site_label
_atom_site_type_symbol
_atom_site_fract_x
_atom_site_fract_y
_atom_site_fract_z
Pr1 Pr 0.0000 0.0000 0.0000
Pu1 Pu 0.0000 0.0000 0.1050
Pt1 Pt 0.0000 0.0000 0.5000
```

Values from the calculation:
**Energy above the most stable polymorph in this dataset**: 247.7 meV/atom
**ΔH_f (0 K)**: -0.033 eV per atom
**Total magnetic moment**: 11.914 μB per formula unit

---

Entry 2:
## Pr2Pu2Pt15 (PBE)

Data for a relaxed Pr2Pu2Pt15 crystal.

Cell and atoms, written as CIF:
```
data_Pr2Pu2Pt15
_cell_length_a 9.4005
_cell_length_b 9.4005
_cell_length_c 13.8345
_cell_angle_alpha 90.00
_cell_angle_beta 90.00
_cell_angle_gamma 120.00
_space_group_name_H-M_alt 'R -3 m'
_space_group_IT_number 166
_space_group_name_Hall '-R 3 2"'
loop_
_atom_site_label
_atom_site_type_symbol
_atom_site_fract_x
_atom_site_fract_y
_atom_site_fract_z
Pr1 Pr 0.0000 0.0000 0.1458
Pu1 Pu 0.0000 0.0000 0.4023
Pt1 Pt 0.0000 0.3151 0.5000
Pt2 Pt 0.0000 0.5000 0.0000
Pt3 Pt 0.0049 0.5024 0.6569
```

Values from the calculation:
**ΔH_f (0 K)**: -0.629 eV per atom
**Total magnetic moment**: 9.877 μB per formula unit

---

Entry 3:
## PrPuPt4 (PBE)

Data for a relaxed PrPuPt4 crystal.

Cell and atoms, written as CIF:
```
data_PrPuPt4
_cell_length_a 7.7816
_cell_length_b 7.7816
_cell_length_c 7.7816
_cell_angle_alpha 90.00
_cell_angle_beta 90.00
_cell_angle_gamma 90.00
_space_group_name_H-M_alt 'F -4 3 m'
_space_group_IT_number 216
_space_group_name_Hall 'F -4 2 3'
loop_
_atom_site_label
_atom_site_type_symbol
_atom_site_fract_x
_atom_site_fract_y
_atom_site_fract_z
Pr1 Pr 0.0000 0.0000 0.0000
Pu1 Pu 0.2500 0.2500 0.7500
Pt1 Pt 0.1245 0.1245 0.3755
```

Values from the calculation:
**ΔH_f (0 K)**: -0.927 eV per atom
**Total magnetic moment**: 5.472 μB per formula unit

---

Entry 4:
## PrPuPt3 (PBE)

Data for a relaxed PrPuPt3 crystal.

Cell and atoms, written as CIF:
```
data_PrPuPt3
_cell_length_a 3.8918
_cell_length_b 27.4536
_cell_length_c 4.2482
_cell_angle_alpha 90.00
_cell_angle_beta 90.00
_cell_angle_gamma 90.00
_space_group_name_H-M_alt 'C m c m'
_space_group_IT_number 63
_space_group_name_Hall '-C 2c 2'
loop_
_atom_site_label
_atom_site_type_symbol
_atom_site_fract_x
_atom_site_fract_y
_atom_site_fract_z
Pr1 Pr 0.0000 0.0738 0.2500
Pu1 Pu 0.0000 0.2063 0.7500
Pt1 Pt 0.0000 0.3128 0.7500
Pt2 Pt 0.0000 0.3766 0.2500
Pt3 Pt 0.0000 0.4719 0.2500
```

Values from the calculation:
**ΔH_f (0 K)**: -0.893 eV per atom
**Total magnetic moment**: 5.212 μB per formula unit

---

Entry 5:
## PrPu2PtRh2 (PBE)

Data for a relaxed PrPu2PtRh2 crystal.

Cell and atoms, written as CIF:
```
data_PrPu2PtRh2
_cell_length_a 4.4370
_cell_length_b 4.4370
_cell_length_c 16.2770
_cell_angle_alpha 90.00
_cell_angle_beta 90.00
_cell_angle_gamma 90.00
_space_group_name_H-M_alt 'I 4/m m m'
_space_group_IT_number 139
_space_group_name_Hall '-I 4 2'
loop_
_atom_site_label
_atom_site_type_symbol
_atom_site_fract_x
_atom_site_fract_y
_atom_site_fract_z
Pr1 Pr 0.0000 0.0000 0.0000
Pu1 Pu 0.0000 0.5000 0.2500
Pt1 Pt 0.0000 0.0000 0.5000
Rh1 Rh 0.0000 0.0000 0.3447
```

Values from the calculation:
**ΔH_f (0 K)**: -0.152 eV per atom
**Total magnetic moment**: 10.715 μB per formula unit

---

Entry 6:
## PrPuRuPt (PBE)

Data for a relaxed PrPuRuPt crystal.

Cell and atoms, written as CIF:
```
data_PrPuRuPt
_cell_length_a 7.0321
_cell_length_b 7.0321
_cell_length_c 7.0321
_cell_angle_alpha 90.00
_cell_angle_beta 90.00
_cell_angle_gamma 90.00
_space_group_name_H-M_alt 'F -4 3 m'
_space_group_IT_number 216
_space_group_name_Hall 'F -4 2 3'
loop_
_atom_site_label
_atom_site_type_symbol
_atom_site_fract_x
_atom_site_fract_y
_atom_site_fract_z
Pr1 Pr 0.0000 0.0000 0.0000
Pu1 Pu 0.0000 0.0000 0.5000
Ru1 Ru 0.2500 0.2500 0.2500
Pt1 Pt 0.2500 0.2500 0.7500
```

Values from the calculation:
**ΔH_f (0 K)**: -0.406 eV per atom
**Total magnetic moment**: 4.417 μB per formula unit

---

> The lowest ΔH_f (0 K) belongs to which entry?

PrPuPt4